(P)
Here is an optimized crystal structure of HfCdPO from OQMD via LeMat-Bulk. Energies are from GGA-PBE.

```
HfCdPO
1.0
5.235 0.000 0.000
0.000 5.235 0.000
0.000 0.000 4.767
Hf Cd P O
2 2 2 2
Direct
0.250 0.750 0.000
0.750 0.250 0.000
0.250 0.250 0.486
0.750 0.750 0.514
0.250 0.250 0.985
0.750 0.750 0.015
0.250 0.750 0.500
0.750 0.250 0.500
```

Summary:
Total magnetic moment in μB/f.u.: 0.00
Crystal system: tetragonal

(Q)
Here is an optimized crystal structure of HfCdPO from OQMD via LeMat-Bulk. Energies are from GGA-PBE.

```
HfCdPO
1.0
4.011 0.000 0.000
0.000 6.990 0.000
0.000 0.000 5.347
Hf Cd P O
2 2 2 2
Direct
0.000 0.168 0.000
0.000 0.832 0.500
0.500 0.408 0.554
0.500 0.592 0.054
0.000 0.198 0.495
0.000 0.802 0.995
0.500 0.223 0.002
0.500 0.777 0.502
```

Summary:
Total magnetic moment in μB/f.u.: 0.00
Crystal system: orthorhombic

Energies in eV/atom, measured from the most stable structure: (P) 0.217; (Q) 0.000.

(P)
Here is an optimized crystal structure of PmHfCd from OQMD via LeMat-Bulk. Energies are from GGA-PBE.

```
PmHfCd
1.0
0.000 3.520 3.520
3.520 0.000 3.520
3.520 3.520 0.000
Pm Hf Cd
1 1 1
Direct
0.000 0.000 0.000
0.750 0.750 0.750
0.500 0.500 0.500
```

Summary:
Total magnetic moment in μB/f.u.: 1.27
Crystal system: cubic

(Q)
Here is an optimized crystal structure of PmHfCd from OQMD via LeMat-Bulk. Energies are from GGA-PBE.

```
PmHfCd
1.0
0.000 3.559 3.559
3.559 0.000 3.559
3.559 3.559 0.000
Pm Hf Cd
1 1 1
Direct
0.000 0.000 0.000
0.250 0.250 0.250
0.750 0.750 0.750
```

Summary:
Total magnetic moment in μB/f.u.: 0.76
Crystal system: cubic

Energies in eV/atom, measured from the most stable structure: (P) 0.000; (Q) 0.192.